1.
TePRh2 after structural relaxation. Source: the Alexandria database, functional PBE.

Computed properties:
Density of states at the Fermi level in states/eV per cell: 4.94
Spin magnetization in μB/atom: 0.000
Uncorrected formation energy in eV per atom: 0.029
Uncorrected energy in eV per atom: -5.7851

Cell and atoms, written as POSCAR:
```
TePRh2
1.0
0.000 3.191 3.191
3.191 0.000 3.191
3.191 3.191 0.000
Te P Rh
1 1 2
Direct
0.500 0.500 0.500
0.000 0.000 0.000
0.750 0.750 0.750
0.250 0.250 0.250
```

2.
TePRh4 after structural relaxation. Source: the Alexandria database, functional PBE.

Computed properties:
Density of states at the Fermi level in states/eV per cell: 8.64
Spin magnetization in μB/atom: 0.000
Uncorrected formation energy in eV per atom: 0.477
Uncorrected energy in eV per atom: -5.8490

Cell and atoms, written as POSCAR:
```
TePRh4
1.0
0.000 3.685 3.685
3.685 0.000 3.685
3.685 3.685 0.000
P Te Rh
1 1 4
Direct
0.000 0.000 0.000
0.750 0.750 0.750
0.375 0.375 0.876
0.375 0.375 0.375
0.375 0.876 0.375
0.876 0.375 0.375
```

3.
TeP2Rh after structural relaxation. Source: the Alexandria database, functional PBE.

Computed properties:
Density of states at the Fermi level in states/eV per cell: 3.12
Spin magnetization in μB/atom: 0.000
Uncorrected formation energy in eV per atom: 0.078
Uncorrected energy in eV per atom: -5.2504

Cell and atoms, written as POSCAR:
```
TeP2Rh
1.0
-1.776 2.507 -0.173
-2.311 -1.546 1.318
2.828 2.552 7.954
Rh P Te
1 2 1
Direct
0.500 0.500 0.250
0.000 0.000 0.107
0.000 0.000 0.393
0.500 0.500 0.750
```

4.
TePRh2 after structural relaxation. Source: the Alexandria database, functional PBE.

Computed properties:
Density of states at the Fermi level in states/eV per cell: 2.35
Spin magnetization in μB/atom: 0.000
Uncorrected formation energy in eV per atom: -0.084
Uncorrected energy in eV per atom: -5.8974

Cell and atoms, written as POSCAR:
```
TePRh2
1.0
-1.823 2.685 3.650
1.823 -2.685 3.650
1.823 2.685 -3.650
P Rh Te
1 2 1
Direct
0.500 0.000 0.500
0.313 0.313 0.000
0.687 0.687 0.000
0.000 0.500 0.500
```

- Which of these has the lowest uncorrected formation energy?
  number 4

- Number 3 is which compound?
  TeP2Rh

- What is the formula in the fourth record?
  TePRh2